Entry 1:
DFT (PBE-GGA) results for crystalline TcB2Sb at its relaxed geometry.

Lattice parameters (Å, degrees): 4.254 4.254 4.254 60.00 60.00 60.00
Positions (direct):
1 B 0.500 0.500 0.500
2 B 0.750 0.750 0.750
3 Sb 0.000 0.000 0.000
4 Tc 0.250 0.250 0.250

space-group type: F-43m (216)
raw total energy: -0.1948 hartree per atom
M_tot: 0.01 μB per formula unit

=====

Entry 2:
DFT (PBE-GGA) results for crystalline TaGaSi at its relaxed geometry.

Lattice parameters (Å, degrees): 4.235 4.235 4.235 60.00 60.00 60.00
Positions (direct):
1 Ga 0.250 0.250 0.250
2 Si 0.000 0.000 0.000
3 Ta 0.750 0.750 0.750

space-group type: F-43m (216)
raw total energy: -0.2345 hartree per atom
M_tot: 0.01 μB per formula unit

=====

Entry 3:
DFT (PBE-GGA) results for crystalline Er3Zn2CdInGa2 at its relaxed geometry.

Lattice parameters (Å, degrees): 4.415 7.037 7.037 118.84 90.00 90.00
Positions (direct):
1 Cd 0.000 0.751 0.751
2 Er 0.500 0.439 0.439
3 Er 0.500 0.995 0.551
4 Er 0.500 0.551 0.995
5 Ga 0.000 0.664 0.322
6 Ga 0.000 0.322 0.664
7 In 0.500 0.015 0.015
8 Zn 0.000 0.259 0.003
9 Zn 0.000 0.003 0.259

space-group type: Amm2 (38)
raw total energy: -0.1239 hartree per atom
M_tot: 0.00 μB per formula unit

=====

Entry 4:
DFT (PBE-GGA) results for crystalline La2FeSi4Ir at its relaxed geometry.

Lattice parameters (Å, degrees): 4.088 8.874 8.874 27.45 90.00 90.00
Positions (direct):
1 Fe 0.000 0.750 0.750
2 Ir 0.500 0.249 0.249
3 La 0.000 0.104 0.104
4 La 0.500 0.896 0.896
5 Si 0.000 0.317 0.317
6 Si 0.000 0.463 0.463
7 Si 0.500 0.537 0.537
8 Si 0.500 0.684 0.684

space-group type: Amm2 (38)
raw total energy: -0.2531 hartree per atom
M_tot: 0.01 μB per formula unit